No. 1
Below is a relaxed SrCrOs2 crystal, with properties calculated at the PBE level.

Cell and atoms, written as POSCAR:
```
SrCrOs2
1.0
3.7158 0.0000 0.0000
0.0000 2.8101 -0.0040
0.0000 2.4072 7.2184
Os Cr Sr
2 1 1
Cartesian
0.0000 5.0697 7.0970 Os
1.8579 1.3510 1.2898 Os
1.8579 3.9000 6.0822 Cr
0.0000 2.7225 3.5669 Sr
```

Results
- E_tot: -30.91 eV per formula unit
- Total magnetic moment: 0.305 Bohr magnetons per cell
- Crystal system: monoclinic
- Relative energy among the computed polymorphs: 0.564 eV per formula unit
- Energy of formation: 69 kJ per mole of atoms
- Density of states at the Fermi level: 1.204 states/eV/atom

=====

No. 2
Below is a relaxed SrCrOs2 crystal, with properties calculated at the PBE level.

Cell and atoms, written as POSCAR:
```
SrCrOs2
1.0
9.7890 0.0156 0.0091
9.3813 2.7957 0.0091
9.3813 1.3757 2.4338
Sr Os Cr
1 2 1
Cartesian
7.1379 1.0468 0.6130 Sr
0.4111 0.0603 0.0353 Os
13.8648 2.0332 1.1907 Os
21.4138 3.1403 1.8390 Cr
```

Results
- E_tot: -30.53 eV per formula unit
- Total magnetic moment: 0.000 Bohr magnetons per cell
- Crystal system: trigonal
- Relative energy among the computed polymorphs: 0.940 eV per formula unit
- Energy of formation: 78 kJ per mole of atoms
- Density of states at the Fermi level: 1.129 states/eV/atom

=====

No. 3
Below is a relaxed SrCr3Os crystal, with properties calculated at the PBE level.

Cell and atoms, written as POSCAR:
```
SrCr3Os
1.0
-3.5266 -1.2547 3.0650
2.7955 -3.5285 1.7721
1.7758 3.0628 3.2971
Cr Os Sr
3 1 1
Cartesian
0.8879 1.5314 1.6485 Cr
-1.7633 -0.6273 1.5325 Cr
1.3978 -1.7642 0.8860 Cr
0.0000 0.0000 0.0000 Os
0.5224 -0.8602 4.0671 Sr
```

Results
- E_tot: -37.36 eV per formula unit
- Total magnetic moment: 9.729 Bohr magnetons per cell
- Crystal system: cubic
- Energy of formation: 85 kJ per mole of atoms
- Density of states at the Fermi level: 0.875 states/eV/atom

=====

Question: The lowest total magnetic moment belongs to which entry?
Answer: number 2